(1)
First-principles (PBE-GGA) data for crystalline NpFeH8Rh4 at its relaxed geometry, as listed in Alexandria.

extended XYZ file:
```
14
Lattice="2.820 1.628 4.460 -2.820 1.628 4.460 0.000 -3.256 4.460" Properties=species:S:1:pos:R:3 pbc="T T T"
Np 0.000 0.000 0.000
Fe 0.000 0.000 8.250
H 0.000 0.000 5.036
H 0.000 -1.534 7.186
H -1.328 0.767 7.186
H -1.027 -0.593 9.504
H 1.027 -0.593 9.504
H 0.000 1.186 9.504
H 0.000 0.000 11.232
H 1.328 0.767 7.186
Rh -1.387 -0.801 6.092
Rh 0.000 0.000 3.246
Rh 1.387 -0.801 6.092
Rh 0.000 1.602 6.092
```

Space-group type ... No. 160
E ... -5.590 eV per atom

(2)
First-principles (PBE-GGA) data for crystalline CaTaCoP2 at its relaxed geometry, as listed in Alexandria.

extended XYZ file:
```
5
Lattice="-1.921 1.921 5.981 1.921 -1.921 5.981 1.921 1.921 -5.981" Properties=species:S:1:pos:R:3 pbc="T T T"
Ca 0.000 0.000 0.000
Ta 1.921 0.000 2.991
Co 0.000 1.921 2.991
P 0.000 0.000 4.459
P 0.000 0.000 7.503
```

E_form ... -0.7329 eV per atom
Energy relative to the lowest polymorph listed for this composition ... 0.000 eV/atom
Space-group type ... No. 119
E ... -7.089 eV per atom

(3)
First-principles (PBE-GGA) data for crystalline BaZr2Fe at its relaxed geometry, as listed in Alexandria.

extended XYZ file:
```
4
Lattice="3.117 -5.701 0.000 3.117 5.701 0.000 -1.602 0.000 2.759" Properties=species:S:1:pos:R:3 pbc="T T T"
Ba 0.000 0.000 0.000
Zr 0.758 2.850 1.380
Zr 0.758 -2.850 1.380
Fe 3.117 0.000 0.000
```

E_form ... 0.8013 eV per atom
Energy relative to the lowest polymorph listed for this composition ... 0.548 eV/atom
Space-group type ... No. 12
E ... -6.069 eV per atom

(4)
First-principles (PBE-GGA) data for crystalline SrHoGaS4 at its relaxed geometry, as listed in Alexandria.

extended XYZ file:
```
14
Lattice="6.525 0.000 0.000 0.000 6.699 0.000 -2.348 0.000 7.688" Properties=species:S:1:pos:R:3 pbc="T T T"
Sr 1.470 1.675 0.456
Sr 2.707 5.024 7.232
Ho 0.136 1.675 4.259
Ho 4.040 5.024 3.429
Ga 0.819 5.024 2.478
Ga 3.357 1.675 5.209
S -1.692 3.386 5.589
S -1.692 6.662 5.589
S 2.571 5.024 1.070
S 1.580 5.024 4.587
S 2.597 1.675 3.101
S 1.605 1.675 6.617
S 5.868 0.036 2.098
S 5.868 3.313 2.098
```

Formation energy without anion corrections ... -1.5659 eV per atom
Space-group type ... No. 11
E ... -5.251 eV per atom

(5)
First-principles (PBE-GGA) data for crystalline Co3GeSb5 at its relaxed geometry, as listed in Alexandria.

extended XYZ file:
```
18
Lattice="5.629 0.000 0.000 0.000 3.264 0.000 -0.109 0.000 19.185" Properties=species:S:1:pos:R:3 pbc="T T T"
Co 0.000 0.000 0.000
Co -0.036 0.000 12.858
Co 2.673 1.632 15.967
Co 2.760 1.632 9.592
Co 2.847 1.632 3.218
Co 5.556 0.000 6.327
Ge 1.059 0.000 15.046
Ge 4.461 0.000 4.139
Sb 1.033 0.000 2.355
Sb 1.040 0.000 8.647
Sb 1.645 1.632 5.419
Sb 1.602 1.632 18.240
Sb 1.661 1.632 11.910
Sb 3.859 1.632 7.275
Sb 3.918 1.632 0.945
Sb 3.875 1.632 13.766
Sb 4.480 0.000 10.538
Sb 4.487 0.000 16.830
```

Formation energy without anion corrections ... -0.1196 eV per atom
Space-group type ... No. 10
E ... -5.291 eV per atom

(6)
First-principles (PBE-GGA) data for crystalline CeSn7Pd4 at its relaxed geometry, as listed in Alexandria.

extended XYZ file:
```
12
Lattice="6.228 -2.851 0.000 6.228 2.851 0.000 -6.154 0.000 8.008" Properties=species:S:1:pos:R:3 pbc="T T T"
Ce 0.000 0.000 0.000
Sn -1.358 0.000 3.000
Sn -2.948 0.000 7.438
Sn 1.824 0.000 3.057
Sn 6.228 0.000 0.000
Sn 4.478 0.000 4.952
Sn 9.249 0.000 0.571
Sn 7.660 0.000 5.008
Pd -1.027 0.000 5.590
Pd 4.463 0.000 2.170
Pd 1.839 0.000 5.838
Pd 7.329 0.000 2.418
```

E_form ... -0.2422 eV per atom
Space-group type ... No. 12
E ... -4.803 eV per atom

(7)
First-principles (PBE-GGA) data for crystalline K4DyPu3O12 at its relaxed geometry, as listed in Alexandria.

extended XYZ file:
```
20
Lattice="-4.282 4.282 4.282 4.282 -4.282 4.282 4.282 4.282 -4.282" Properties=species:S:1:pos:R:3 pbc="T T T"
K 2.141 2.141 -2.141
K 2.141 -2.141 2.141
K -2.141 2.141 2.141
K 2.141 2.141 2.141
Dy 0.000 0.000 0.000
Pu 4.282 0.000 0.000
Pu 0.000 4.282 0.000
Pu 0.000 0.000 4.282
O 2.271 0.000 0.000
O 6.292 0.000 0.000
O 4.282 2.141 0.000
O 4.282 0.000 2.141
O 0.000 2.271 0.000
O 0.000 0.000 2.271
O 2.141 4.282 0.000
O 2.141 0.000 4.282
O 0.000 6.292 0.000
O 0.000 0.000 6.292
O 0.000 4.282 2.141
O 0.000 2.141 4.282
```

Formation energy without anion corrections ... -2.5880 eV per atom
Space-group type ... No. 229
E ... -8.162 eV per atom

(8)
First-principles (PBE-GGA) data for crystalline ScUCu4 at its relaxed geometry, as listed in Alexandria.

extended XYZ file:
```
6
Lattice="0.000 3.620 3.620 3.620 0.000 3.620 3.620 3.620 0.000" Properties=species:S:1:pos:R:3 pbc="T T T"
Sc 0.000 0.000 0.000
U 5.430 5.430 5.430
Cu 2.708 2.708 2.708
Cu 4.531 4.531 2.708
Cu 4.531 2.708 4.531
Cu 2.708 4.531 4.531
```

E_form ... 0.0456 eV per atom
Space-group type ... No. 216
E ... -5.622 eV per atom

(9)
First-principles (PBE-GGA) data for crystalline Y3ErMg at its relaxed geometry, as listed in Alexandria.

extended XYZ file:
```
10
Lattice="14.218 -1.787 0.000 14.218 1.787 0.000 -0.391 0.000 5.951" Properties=species:S:1:pos:R:3 pbc="T T T"
Y 1.243 0.000 1.264
Y 3.768 0.000 5.199
Y 9.653 0.000 3.728
Y 18.392 0.000 2.223
Y 24.276 0.000 0.751
Y 26.802 0.000 4.687
Er 7.086 0.000 1.478
Er 20.958 0.000 4.473
Mg 12.690 0.000 1.773
Mg 15.354 0.000 4.178
```

E_form ... -0.0066 eV per atom
Energy relative to the lowest polymorph listed for this composition ... 0.000 eV/atom
Space-group type ... No. 12
E ... -5.117 eV per atom

(10)
First-principles (PBE-GGA) data for crystalline Ca3Cd3Pb4 at its relaxed geometry, as listed in Alexandria.

extended XYZ file:
```
20
Lattice="-5.307 5.307 5.307 5.307 -5.307 5.307 5.307 5.307 -5.307" Properties=species:S:1:pos:R:3 pbc="T T T"
Ca 5.307 -2.654 3.980
Ca 3.980 5.307 -2.654
Ca 5.307 2.654 1.327
Ca 2.654 1.327 5.307
Ca 1.327 5.307 2.654
Ca -2.654 3.980 5.307
Cd 7.961 1.327 0.000
Cd 3.980 0.000 2.654
Cd 2.654 3.980 0.000
Cd 0.000 2.654 3.980
Cd 1.327 0.000 7.961
Cd 0.000 7.961 1.327
Pb 3.696 1.611 -1.611
Pb 6.350 -1.043 1.043
Pb 1.611 -1.611 3.696
Pb 1.611 1.611 1.611
Pb -1.611 3.696 1.611
Pb 1.043 6.350 -1.043
Pb -1.043 1.043 6.350
Pb 4.264 4.264 4.264
```

E_form ... -0.2291 eV per atom
Space-group type ... No. 220
E ... -2.587 eV per atom

(11)
First-principles (PBE-GGA) data for crystalline Be2ZnI at its relaxed geometry, as listed in Alexandria.

extended XYZ file:
```
4
Lattice="0.000 3.255 3.255 3.255 0.000 3.255 3.255 3.255 0.000" Properties=species:S:1:pos:R:3 pbc="T T T"
Be 1.627 1.627 1.627
Be 4.882 4.882 4.882
Zn 0.000 0.000 0.000
I 3.255 3.255 3.255
```

Formation energy without anion corrections ... 1.1344 eV per atom
Energy relative to the lowest polymorph listed for this composition ... 0.401 eV/atom
Space-group type ... No. 225
E ... -1.435 eV per atom

(12)
First-principles (PBE-GGA) data for crystalline GdTmScHg at its relaxed geometry, as listed in Alexandria.

extended XYZ file:
```
4
Lattice="0.000 3.747 3.747 3.747 0.000 3.747 3.747 3.747 0.000" Properties=species:S:1:pos:R:3 pbc="T T T"
Gd 0.000 0.000 0.000
Tm 3.747 3.747 3.747
Sc 1.873 1.873 1.873
Hg 5.620 5.620 5.620
```

E_form ... -0.0809 eV per atom
Space-group type ... No. 216
E ... -6.377 eV per atom

(13)
First-principles (PBE-GGA) data for crystalline HoAg2BiTe4 at its relaxed geometry, as listed in Alexandria.

extended XYZ file:
```
8
Lattice="7.464 0.000 0.000 0.000 4.416 0.000 -2.602 0.000 7.196" Properties=species:S:1:pos:R:3 pbc="T T T"
Ho 0.000 0.000 0.000
Ag 2.431 0.000 3.598
Ag 3.732 2.208 0.000
Bi -1.301 2.208 3.598
Te 1.268 2.208 1.775
Te -0.006 0.000 5.458
Te 4.867 0.000 1.738
Te 3.593 2.208 5.420
```

Formation energy without anion corrections ... -0.4802 eV per atom
Space-group type ... No. 10
E ... -3.821 eV per atom

(14)
First-principles (PBE-GGA) data for crystalline CrInSi at its relaxed geometry, as listed in Alexandria.

extended XYZ file:
```
3
Lattice="2.979 0.000 0.000 -1.489 2.580 0.000 0.000 0.000 6.519" Properties=species:S:1:pos:R:3 pbc="T T T"
Cr 0.000 0.000 0.000
In 1.489 0.860 2.259
Si 0.000 1.720 4.778
```

Formation energy without anion corrections ... 0.3696 eV per atom
Energy relative to the lowest polymorph listed for this composition ... 0.195 eV/atom
Space-group type ... No. 156
E ... -5.559 eV per atom

(15)
First-principles (PBE-GGA) data for crystalline CaSb2Pd8 at its relaxed geometry, as listed in Alexandria.

extended XYZ file:
```
11
Lattice="6.261 0.000 0.000 0.000 6.261 0.000 0.000 0.000 5.672" Properties=species:S:1:pos:R:3 pbc="T T T"
Ca 0.000 0.000 0.000
Sb 0.000 3.131 2.836
Sb 3.131 0.000 2.836
Pd 1.757 1.757 1.375
Pd 1.757 1.757 4.296
Pd 1.757 4.504 1.375
Pd 1.757 4.504 4.296
Pd 4.504 1.757 1.375
Pd 4.504 1.757 4.296
Pd 4.504 4.504 1.375
Pd 4.504 4.504 4.296
```

Formation energy without anion corrections ... -0.2085 eV per atom
Space-group type ... No. 123
E ... -4.917 eV per atom

(16)
First-principles (PBE-GGA) data for crystalline Re2OsAu at its relaxed geometry, as listed in Alexandria.

extended XYZ file:
```
4
Lattice="3.901 0.000 0.000 0.000 3.901 0.000 0.000 0.000 4.001" Properties=species:S:1:pos:R:3 pbc="T T T"
Re 0.000 1.950 0.000
Re 1.950 0.000 0.000
Os 0.000 0.000 2.001
Au 1.950 1.950 2.001
```

E_form ... 0.4737 eV per atom
Energy relative to the lowest polymorph listed for this composition ... 0.222 eV/atom
Space-group type ... No. 123
E ... -9.377 eV per atom

(17)
First-principles (PBE-GGA) data for crystalline RbMoN2 at its relaxed geometry, as listed in Alexandria.

extended XYZ file:
```
64
Lattice="6.156 0.000 0.000 0.000 12.335 0.000 0.000 0.000 16.770" Properties=species:S:1:pos:R:3 pbc="T T T"
Rb 0.814 3.074 3.215
Rb 0.814 3.093 11.599
Rb 1.523 0.002 1.124
Rb 1.523 6.166 9.509
Rb 1.555 12.333 9.509
Rb 1.555 6.170 1.124
Rb 2.264 9.242 3.215
Rb 2.264 9.261 11.599
Rb 3.892 3.074 5.170
Rb 3.892 3.093 13.555
Rb 4.601 0.002 7.261
Rb 4.601 6.166 15.646
Rb 4.633 12.333 15.646
Rb 4.633 6.170 7.261
Rb 5.342 9.242 5.170
Rb 5.342 9.261 13.555
Mo 1.080 3.073 7.426
Mo 1.080 3.094 15.811
Mo 1.516 6.178 13.679
Mo 1.516 12.325 5.294
Mo 1.562 0.011 13.679
Mo 1.562 6.157 5.294
Mo 1.998 9.241 7.426
Mo 1.998 9.262 15.811
Mo 4.158 3.073 0.959
Mo 4.158 3.094 9.343
Mo 4.594 6.178 11.476
Mo 4.594 12.325 3.091
Mo 4.640 0.011 11.476
Mo 4.640 6.157 3.091
Mo 5.076 9.241 0.959
Mo 5.076 9.262 9.343
N 0.055 0.004 12.533
N 0.055 6.164 4.148
N 0.798 9.242 0.525
N 0.798 9.261 8.910
N 1.462 1.565 14.764
N 1.462 4.602 6.379
N 1.478 1.526 6.410
N 1.478 4.641 14.795
N 1.600 7.694 6.410
N 1.600 10.809 14.795
N 1.616 7.733 14.764
N 1.616 10.770 6.379
N 2.280 3.074 0.525
N 2.280 3.094 8.910
N 3.023 12.331 4.148
N 3.023 6.171 12.533
N 3.133 0.004 12.621
N 3.133 6.164 4.237
N 3.876 9.242 7.860
N 3.876 9.261 16.245
N 4.540 1.565 10.390
N 4.540 4.602 2.006
N 4.556 1.526 1.975
N 4.556 4.641 10.360
N 4.678 7.694 1.975
N 4.678 10.809 10.360
N 4.694 7.733 10.390
N 4.694 10.770 2.006
N 5.358 3.074 7.860
N 5.358 3.094 16.245
N 6.101 12.331 4.237
N 6.101 6.171 12.621
```

Formation energy without anion corrections ... -0.4115 eV per atom
Energy relative to the lowest polymorph listed for this composition ... 0.000 eV/atom
Space-group type ... No. 61
E ... -7.524 eV per atom

(18)
First-principles (PBE-GGA) data for crystalline Si2Ni4Rh at its relaxed geometry, as listed in Alexandria.

extended XYZ file:
```
14
Lattice="6.766 0.000 0.000 0.000 6.766 0.000 0.000 0.000 3.651" Properties=species:S:1:pos:R:3 pbc="T T T"
Si 1.446 1.446 0.000
Si 1.937 4.829 1.826
Si 4.829 1.937 1.826
Si 5.319 5.319 0.000
Ni 0.622 4.445 0.000
Ni 1.062 2.761 1.826
Ni 2.321 6.144 0.000
Ni 2.761 1.062 1.826
Ni 4.004 5.704 1.826
Ni 4.445 0.622 0.000
Ni 5.704 4.004 1.826
Ni 6.144 2.321 0.000
Rh 0.000 0.000 1.826
Rh 3.383 3.383 0.000
```

Formation energy without anion corrections ... -0.4228 eV per atom
Space-group type ... No. 136
E ... -6.326 eV per atom

(19)
First-principles (PBE-GGA) data for crystalline CePmAu6 at its relaxed geometry, as listed in Alexandria.

extended XYZ file:
```
8
Lattice="5.607 0.000 0.000 -0.637 5.572 0.000 -0.638 -0.729 5.524" Properties=species:S:1:pos:R:3 pbc="T T T"
Ce 0.000 0.000 0.000
Pm 2.166 2.421 2.762
Au -0.631 2.092 4.141
Au 0.448 5.043 2.905
Au 2.162 4.158 0.147
Au 2.171 0.684 5.376
Au 3.885 -0.201 2.619
Au 4.964 2.751 1.382
```

E_form ... -0.6343 eV per atom
Space-group type ... No. 2
E ... -4.428 eV per atom

(20)
First-principles (PBE-GGA) data for crystalline TbPmErTl at its relaxed geometry, as listed in Alexandria.

extended XYZ file:
```
4
Lattice="4.842 0.000 0.000 0.000 4.882 0.000 0.000 0.000 4.924" Properties=species:S:1:pos:R:3 pbc="T T T"
Tb 0.000 0.000 0.000
Pm 2.421 2.441 0.000
Er 0.000 2.441 2.462
Tl 2.421 0.000 2.462
```

E_form ... -0.1837 eV per atom
Energy relative to the lowest polymorph listed for this composition ... 0.000 eV/atom
Space-group type ... No. 47
E ... -4.261 eV per atom